No. 1
A geometry-optimized Tb4PuTe6 structure. Source: Alexandria, functional PBE.

abc: 7.4846 7.4846 22.3605
angles: 90.00 90.00 146.36
Atoms (fractional coordinates):
Tb: 0.0876 0.9124 0.6268
Tb: 0.0876 0.9124 0.8732
Tb: 0.3573 0.6427 0.5371
Tb: 0.3573 0.6427 0.9629
Tb: 0.6427 0.3573 0.0371
Tb: 0.6427 0.3573 0.4629
Tb: 0.9124 0.0876 0.1268
Tb: 0.9124 0.0876 0.3733
Pu: 0.1571 0.8429 0.2500
Pu: 0.8429 0.1571 0.7500
Te: 0.0000 0.0000 0.0000
Te: 0.0000 0.0000 0.5000
Te: 0.1808 0.8192 0.7500
Te: 0.2682 0.7318 0.0920
Te: 0.2682 0.7318 0.4080
Te: 0.4477 0.5523 0.6647
Te: 0.4477 0.5523 0.8353
Te: 0.5523 0.4477 0.1647
Te: 0.5523 0.4477 0.3353
Te: 0.7318 0.2682 0.5920
Te: 0.7318 0.2682 0.9080
Te: 0.8192 0.1808 0.2500

Summary:
total moment: 5.68 μB/f.u.
uncorrected energy: -0.221 Ha/atom
space group: Cmcm (63)
formation energy from raw total energies: -126 kJ per mole of atoms

No. 2
A geometry-optimized TbPuTe2 structure. Source: Alexandria, functional PBE.

abc: 5.3776 5.3776 5.3776
angles: 60.00 60.00 60.00
Atoms (fractional coordinates):
Tb: 0.0000 0.0000 0.0000
Pu: 0.5000 0.5000 0.5000
Te: 0.2500 0.2500 0.2500
Te: 0.7500 0.7500 0.7500

Summary:
total moment: 6.68 μB/f.u.
energy above the most stable polymorph in this dataset: 0.1535 eV per atom
uncorrected energy: -0.271 Ha/atom
space group: Fm-3m (225)
formation energy from raw total energies: -104 kJ per mole of atoms

No. 3
A geometry-optimized TbPuTe2 structure. Source: Alexandria, functional PBE.

abc: 7.6908 7.6908 7.6908
angles: 33.07 33.07 33.07
Atoms (fractional coordinates):
Tb: 0.0000 0.0000 0.0000
Pu: 0.5000 0.5000 0.5000
Te: 0.2513 0.2513 0.2513
Te: 0.7487 0.7487 0.7487

Summary:
total moment: 6.03 μB/f.u.
energy above the most stable polymorph in this dataset: 0.0000 eV per atom
uncorrected energy: -0.277 Ha/atom
space group: R-3m (166)
formation energy from raw total energies: -118 kJ per mole of atoms

No. 4
A geometry-optimized TbPuTe structure. Source: Alexandria, functional PBE.

abc: 6.1028 4.2249 4.2249
angles: 90.00 90.00 90.00
Atoms (fractional coordinates):
Tb: 0.0000 0.0000 0.0000
Pu: 0.5000 0.4983 0.4983
Te: 0.0000 0.5000 0.5000

Summary:
total moment: 6.90 μB/f.u.
energy above the most stable polymorph in this dataset: 0.2801 eV per atom
uncorrected energy: -0.281 Ha/atom
space group: Amm2 (38)
formation energy from raw total energies: -26 kJ per mole of atoms

No. 5
A geometry-optimized Tb5PuTe6 structure. Source: Alexandria, functional PBE.

abc: 7.5649 7.5649 7.6298
angles: 99.52 99.52 120.04
Atoms (fractional coordinates):
Tb: 0.0000 0.0000 0.0000
Tb: 0.1676 0.8324 0.5000
Tb: 0.3333 0.6667 0.0000
Tb: 0.6667 0.3333 0.0000
Tb: 0.8324 0.1676 0.5000
Pu: 0.5000 0.5000 0.5000
Te: 0.0812 0.4159 0.2484
Te: 0.2481 0.2481 0.7503
Te: 0.4159 0.0812 0.2484
Te: 0.5841 0.9188 0.7516
Te: 0.7519 0.7519 0.2497
Te: 0.9188 0.5841 0.7516

Summary:
total moment: 6.08 μB/f.u.
uncorrected energy: -0.220 Ha/atom
space group: C2/m (12)
formation energy from raw total energies: -124 kJ per mole of atoms

No. 6
A geometry-optimized Tb2PuTe5 structure. Source: Alexandria, functional PBE.

abc: 9.1451 9.1451 9.1451
angles: 127.15 127.15 78.01
Atoms (fractional coordinates):
Tb: 0.1518 0.6518 0.8037
Tb: 0.3482 0.1518 0.5000
Tb: 0.6518 0.8482 0.5000
Tb: 0.8482 0.3482 0.1963
Pu: 0.2500 0.2500 0.0000
Pu: 0.7500 0.7500 0.0000
Te: 0.0000 0.0000 0.0000
Te: 0.0074 0.1930 0.5000
Te: 0.1930 0.6930 0.1857
Te: 0.3070 0.4926 0.5000
Te: 0.4926 0.9926 0.1857
Te: 0.5000 0.5000 0.0000
Te: 0.5074 0.0074 0.8143
Te: 0.6930 0.5074 0.5000
Te: 0.8070 0.3070 0.8143
Te: 0.9926 0.8070 0.5000

Summary:
total moment: 4.53 μB/f.u.
uncorrected energy: -0.220 Ha/atom
space group: I4/mcm (140)
formation energy from raw total energies: -105 kJ per mole of atoms

> Which value of uncorrected energy does entry 5 give?

-0.220 Ha/atom